Entry 1:
A plane-wave DFT calculation with GGA-PBE was carried out for a relaxed structure of Tm2ZrPb.

Values from the calculation:
- excess energy over the best structure of this formula in the dataset (eV/atom) = 0.000
- energy of formation (eV per atom) = -0.1733
- density of states at the Fermi level (states/eV/atom) = 0.75

abc: 3.379 3.379 9.470
angles: 90.00 90.00 90.00
Space group P4/mmm (No. 123)
Asymmetric unit:
1 Tm 0.000 0.000 0.245
2 Zr 0.500 0.500 0.000
3 Pb 0.500 0.500 0.500

=====

Entry 2:
A plane-wave DFT calculation with GGA-PBE was carried out for a relaxed structure of TmZrPb2.

Values from the calculation:
- energy of formation (eV per atom) = -0.1925
- density of states at the Fermi level (states/eV/atom) = 1.17

abc: 4.805 4.805 4.409
angles: 90.00 90.00 90.00
Space group P4/mmm (No. 123)
Asymmetric unit:
1 Tm 0.000 0.000 0.000
2 Zr 0.500 0.500 0.000
3 Pb 0.000 0.500 0.500

=====

Entry 3:
A plane-wave DFT calculation with GGA-PBE was carried out for a relaxed structure of TmZrPb2.

Values from the calculation:
- energy of formation (eV per atom) = -0.1619
- density of states at the Fermi level (states/eV/atom) = 1.06

abc: 3.4370 3.4370 30.7884
angles: 90.00 90.00 120.00
Space group R3m (No. 160, hexagonal axes)
Asymmetric unit:
1 Tm 0.0000 0.0000 0.0000
2 Zr 0.0000 0.0000 0.8338
3 Pb 0.0000 0.0000 0.4198
4 Pb 0.0000 0.0000 0.5808